Mg5MnAu6 PBE-GGA relaxed; total magnetic moment = 4.29 μB per cell; calculated formation energy = -0.51 eV/atom; theoretical density = 10.6 g/cm³
1.0
-3.151 2.688 -2.021
-3.637 -5.409 -1.525
-0.062 2.007 7.721
Mg Mn Au
5 1 6
Direct
0.668 0.167 0.335
0.334 0.334 0.667
0.000 0.500 0.000
0.666 0.666 0.333
0.332 0.833 0.665
0.000 0.000 0.000
0.836 0.588 0.671
0.836 0.083 0.671
0.500 0.757 0.000
0.500 0.243 0.000
0.164 0.917 0.329
0.164 0.412 0.329